[1]
This record from Alexandria describes crystalline Pm3Tl2Cu at its relaxed geometry. The functional is PBE-GGA.

Final energy   -4.05 eV/atom
Density of states at the Fermi level   4.3 states/eV/f.u.
Energy of formation from the pure elements   -0.2064 eV/atom

Cell lengths 6.5092, 6.6683, 8.4343 Å; angles 102.10, 112.70, 90.00 degrees
With the nearest neighbours (Å) after each atom.
Fractional positions:
Tl (0.4437, 0.4528, 0.6654)  7 Pm 3.20-3.55, 1 Cu 3.29, 1 Tl 3.32
Cu (0.8533, 0.7500, 0.0000)  3 Pm 2.88-3.17
Pm (0.3670, 0.7500, 0.0000)  2 Cu 3.17-3.34, 4 Tl 3.20-3.30, 2 Pm 3.40
Pm (0.0549, 0.5903, 0.3123)  1 Cu 2.88, 2 Tl 3.21-3.22
Pm (0.7426, 0.9097, 0.6877)  1 Cu 2.88, 2 Tl 3.21-3.22
Pm (0.9451, 0.4097, 0.6877)  1 Cu 2.88, 2 Tl 3.21-3.22
Cu (0.1467, 0.2500, 0.0000)  3 Pm 2.88-3.17
Pm (0.6330, 0.2500, 0.0000)  2 Cu 3.17-3.34, 4 Tl 3.20-3.30, 2 Pm 3.40
Tl (0.5563, 0.5472, 0.3346)  7 Pm 3.20-3.55, 1 Cu 3.29, 1 Tl 3.32
Tl (0.2217, 0.9528, 0.6654)  7 Pm 3.20-3.55, 1 Cu 3.29, 1 Tl 3.32
Tl (0.7783, 0.0472, 0.3346)  7 Pm 3.20-3.55, 1 Cu 3.29, 1 Tl 3.32
Pm (0.2574, 0.0903, 0.3123)  1 Cu 2.88, 2 Tl 3.21-3.22

---

[2]
This record from Alexandria describes crystalline LiYSb2 at its relaxed geometry. The functional is PBE-GGA.

Final energy   -4.65 eV/atom
Density of states at the Fermi level   3.9 states/eV/f.u.
E_form (uncorrected)   -0.498 eV/atom

Cell lengths 8.6018, 8.6018, 8.6018 Å; angles 26.11, 26.11, 26.11 degrees
With the nearest neighbours (Å) after each atom.
Fractional positions:
Y (0.2500, 0.2500, 0.2500)  6 Sb 3.13
Sb (0.4956, 0.4956, 0.4956)  3 Li 2.98, 3 Y 3.13
Sb (0.0044, 0.0044, 0.0044)  3 Li 2.98, 3 Y 3.13
Li (0.7500, 0.7500, 0.7500)  6 Sb 2.98

---

[3]
This record from Alexandria describes crystalline NpMnS4 at its relaxed geometry. The functional is PBE-GGA.

Final energy   -7.22 eV/atom
Density of states at the Fermi level   7.6 states/eV/f.u.
E_form (uncorrected)   -0.781 eV/atom

Cell lengths 7.1584, 5.9461, 7.2763 Å; angles 90.00, 120.27, 90.00 degrees
With the nearest neighbours (Å) after each atom.
Fractional positions:
Mn (0.5000, 0.0000, 0.5000)  4 S 2.33-2.35
S (0.8590, 0.7225, 0.1959)  1 Mn 2.33, 1 Np 2.59
S (0.3112, 0.7268, 0.6574)  1 Mn 2.35, 1 Np 2.54
S (0.6410, 0.2225, 0.8041)  1 Mn 2.33, 1 Np 2.59
S (0.1410, 0.2775, 0.8041)  1 Mn 2.33, 1 Np 2.59
S (0.3590, 0.7775, 0.1959)  1 Mn 2.33, 1 Np 2.59
S (0.6888, 0.2732, 0.3426)  1 Mn 2.35, 1 Np 2.54
Np (0.5000, 0.5000, 0.0000)  6 S 2.54-2.69
S (0.8112, 0.7732, 0.6574)  1 Mn 2.35, 1 Np 2.54
Np (0.0000, 0.0000, 0.0000)  6 S 2.54-2.69
S (0.1888, 0.2268, 0.3426)  1 Mn 2.35, 1 Np 2.54
Mn (0.0000, 0.5000, 0.5000)  4 S 2.33-2.35

---

[4]
This record from Alexandria describes crystalline Rb2ZnBr6O at its relaxed geometry. The functional is PBE-GGA.

Final energy   -2.53 eV/atom
Density of states at the Fermi level   0.0 states/eV/f.u.
E_form (uncorrected)   -0.713 eV/atom

Cell lengths 7.3816, 7.3816, 7.6615 Å; angles 61.20, 61.20, 90.00 degrees
With the nearest neighbours (Å) after each atom.
Fractional positions:
Rb (0.2500, 0.7500, 0.5000)  12 Br 3.72-3.84
Br (0.2081, 0.2081, 0.5839)  1 Zn 2.33
Br (0.7206, 0.7206, 0.0000)  1 O 2.30
O (0.5000, 0.5000, 0.0000)  4 Br 2.30
Br (0.7919, 0.7919, 0.4161)  1 Zn 2.33
Br (0.2794, 0.2794, 0.0000)  1 O 2.30
Rb (0.7500, 0.2500, 0.5000)  12 Br 3.72-3.84
Zn (0.0000, 0.0000, 0.0000)  2 Br 2.33
Br (0.2794, 0.7206, 0.0000)  1 O 2.30
Br (0.7206, 0.2794, 0.0000)  1 O 2.30

---

[5]
This record from Alexandria describes crystalline Sc3TiIr4 at its relaxed geometry. The functional is PBE-GGA.

Final energy   -8.76 eV/atom
Density of states at the Fermi level   3.3 states/eV/f.u.
Energy of formation from the pure elements   -0.9680 eV/atom

Cell lengths 3.1090, 3.1090, 13.6034 Å; angles 90.00, 90.00, 90.00 degrees
With the nearest neighbours (Å) after each atom.
Fractional positions:
Sc (0.5000, 0.5000, 0.7520)  8 Ir 2.77-2.86
Ir (0.0000, 0.0000, 0.6278)  8 Sc 2.77-2.80
Sc (0.5000, 0.5000, 0.2480)  8 Ir 2.77-2.86
Ir (0.0000, 0.0000, 0.8866)  4 Ti 2.69, 4 Sc 2.86
Ir (0.0000, 0.0000, 0.3722)  8 Sc 2.77-2.80
Ir (0.0000, 0.0000, 0.1134)  4 Ti 2.69, 4 Sc 2.86
Sc (0.5000, 0.5000, 0.5000)  8 Ir 2.80, 4 Sc 3.11
Ti (0.5000, 0.5000, 0.0000)  8 Ir 2.69

---

[6]
This record from Alexandria describes crystalline VGaReRu at its relaxed geometry. The functional is PBE-GGA.

Final energy   -8.69 eV/atom
Density of states at the Fermi level   2.2 states/eV/f.u.
Energy of formation from the pure elements   -0.2190 eV/atom

Cell lengths 4.2966, 4.2966, 4.2966 Å; angles 60.00, 60.00, 60.00 degrees
With the nearest neighbours (Å) after each atom.
Fractional positions:
Ru (0.7500, 0.7500, 0.7500)  4 V 2.63, 4 Ga 2.63
V (0.5000, 0.5000, 0.5000)  4 Ru 2.63, 4 Re 2.63
Re (0.2500, 0.2500, 0.2500)  4 Ga 2.63, 4 V 2.63
Ga (0.0000, 0.0000, 0.0000)  4 Re 2.63, 4 Ru 2.63

---

[7]
This record from Alexandria describes crystalline HoTl2Br6 at its relaxed geometry. The functional is PBE-GGA.

Final energy   -3.25 eV/atom
Density of states at the Fermi level   7.7 states/eV/f.u.
E_form (uncorrected)   -1.105 eV/atom

Cell lengths 4.0051, 8.3684, 9.2848 Å; angles 116.79, 90.00, 90.00 degrees
With the nearest neighbours (Å) after each atom.
Fractional positions:
Tl (0.0000, 0.6589, 0.3268)  7 Br 3.13-3.50
Br (0.0000, 0.2213, 0.0000)  2 Ho 2.93
Br (0.5000, 0.6083, 0.0000)  1 Ho 2.98
Br (0.5000, 0.4334, 0.4199)  4 Tl 3.13-3.47
Tl (0.0000, 0.3321, 0.6732)  7 Br 3.13-3.50
Br (0.0000, 0.7678, 0.7679)  2 Ho 2.86
Br (0.5000, 0.0135, 0.5801)  4 Tl 3.13-3.47
Ho (0.5000, 0.9650, 0.0000)  7 Br 2.86-2.98
Br (0.0000, 0.9999, 0.2321)  2 Ho 2.86

---

[8]
This record from Alexandria describes crystalline PmSm2YSe4 at its relaxed geometry. The functional is PBE-GGA.

Final energy   -6.13 eV/atom
Density of states at the Fermi level   4.8 states/eV/f.u.
E_form (uncorrected)   -1.806 eV/atom

Cell lengths 4.1097, 7.2100, 7.2529 Å; angles 71.10, 90.00, 90.00 degrees
With the nearest neighbours (Å) after each atom.
Fractional positions:
Se (0.0000, 0.7487, 0.7458)  1 Y 2.91, 3 Sm 2.93-2.97, 2 Pm 2.95
Se (0.0000, 0.2513, 0.2542)  1 Y 2.91, 3 Sm 2.93-2.97, 2 Pm 2.95
Y (0.0000, 0.5000, 0.5000)  6 Se 2.91
Se (0.5000, 0.7451, 0.2563)  2 Y 2.91, 3 Sm 2.93-2.97, 1 Pm 2.95
Sm (0.0000, 0.0000, 0.0000)  6 Se 2.97
Pm (0.5000, 0.5000, 0.0000)  6 Se 2.95
Se (0.5000, 0.2549, 0.7437)  2 Y 2.91, 3 Sm 2.93-2.97, 1 Pm 2.95
Sm (0.5000, 0.0000, 0.5000)  6 Se 2.93